# 1
First-principles (PBE) data for an optimized crystal structure of ScPa2Mn, as listed in the Alexandria database.

Cell: 3.544 3.544 8.580 Å, 78.08 78.08 60.00°
Sites, in units of the cell vectors:
Sc 0.500 0.500 0.500
Pa 0.270 0.270 0.189
Pa 0.730 0.730 0.811
Mn 0.000 0.000 0.000

Results
* calculated total energy: -8.457 eV/atom
* formation enthalpy at 0 K: 3.8 kcal/mol of atoms
* relative energy among the computed polymorphs: 0.0 meV/atom


# 2
First-principles (PBE) data for an optimized crystal structure of ScPa2Mn, as listed in the Alexandria database.

Cell: 3.458 3.458 7.227 Å, 90.00 90.00 90.00°
Site moments in Bohr magnetons follow the coordinates.
Sites, in units of the cell vectors:
Sc 0.500 0.500 0.500  0.00
Pa 0.000 0.000 0.805  -0.02
Pa 0.000 0.000 0.195  -0.02
Mn 0.500 0.500 0.000  0.08

Results
* calculated total energy: -8.452 eV/atom
* formation enthalpy at 0 K: 3.9 kcal/mol of atoms
* relative energy among the computed polymorphs: 4.3 meV/atom